# 1
MnVSb2 after structural relaxation, computed with GGA-PBE.

Output
- Crystal system: trigonal
- E above lowest polymorph: 74.5 meV per atom
- Uncorrected formation energy: 327 meV/atom
- SG: R-3m (166)

POSCAR file:
```
MnVSb2
1.0
1.651 0.953 9.210
-1.651 0.953 9.210
0.000 -1.907 9.210
Mn V Sb
1 1 2
Direct
0.000 0.000 0.000
0.500 0.500 0.500
0.097 0.097 0.097
0.903 0.903 0.903
```

***

# 2
Ta3ZnH after structural relaxation, computed with GGA-PBE.

Output
- Crystal system: cubic
- E above lowest polymorph: 0.0 meV per atom
- SG: Pm-3m (221)

POSCAR file:
```
Ta3ZnH
1.0
4.146 0.000 0.000
0.000 4.146 0.000
0.000 0.000 4.146
Ta Zn H
3 1 1
Direct
0.000 0.000 0.500
0.000 0.500 0.000
0.500 0.000 0.000
0.500 0.500 0.500
0.000 0.000 0.000
```

***

# 3
AsIrCl after structural relaxation, computed with GGA-PBE.

Output
- Crystal system: trigonal
- E above lowest polymorph: 40.8 meV per atom
- Uncorrected formation energy: -127 meV/atom
- SG: P3m1 (156)

POSCAR file:
```
AsIrCl
1.0
3.662 0.000 0.000
-1.831 3.172 0.000
0.000 0.000 5.506
As Ir Cl
1 1 1
Direct
0.000 0.000 0.000
0.667 0.333 0.796
0.333 0.667 0.506
```

***

# 4
PrZn11Pt after structural relaxation, computed with GGA-PBE.

Output
- Crystal system: monoclinic
- Calculated total energy: -2.1907 eV/atom
- SG: C2/m (12)

POSCAR file:
```
PrZn11Pt
1.0
2.617 -6.370 0.000
2.617 6.370 0.000
-2.556 0.000 6.362
Pr Zn Pt
1 11 1
Direct
0.000 0.000 0.000
0.000 0.500 0.000
0.013 0.659 0.644
0.281 0.504 0.780
0.341 0.987 0.356
0.496 0.719 0.220
0.500 0.000 0.000
0.500 0.500 0.500
0.504 0.281 0.780
0.659 0.013 0.644
0.719 0.496 0.220
0.987 0.341 0.356
0.000 0.000 0.500
```

***

# 5
NiAsIr4 after structural relaxation, computed with GGA-PBE.

Output
- Crystal system: cubic
- Calculated total energy: -6.9670 eV/atom
- SG: F-43m (216)

POSCAR file:
```
NiAsIr4
1.0
0.000 3.660 3.660
3.660 0.000 3.660
3.660 3.660 0.000
Ni As Ir
1 1 4
Direct
0.000 0.000 0.000
0.750 0.750 0.750
0.375 0.375 0.375
0.375 0.375 0.876
0.375 0.876 0.375
0.876 0.375 0.375
```

***

# 6
ZnCrNi2H after structural relaxation, computed with GGA-PBE.

Output
- Crystal system: tetragonal
- Calculated total energy: -5.2008 eV/atom
- SG: P4/mmm (123)

POSCAR file:
```
ZnCrNi2H
1.0
3.728 0.000 0.000
0.000 3.728 0.000
0.000 0.000 3.711
Zn Cr Ni H
1 1 2 1
Direct
0.000 0.000 0.000
0.500 0.500 0.000
0.000 0.500 0.500
0.500 0.000 0.500
0.500 0.500 0.500
```

***

# 7
CaNdSbPd after structural relaxation, computed with GGA-PBE.

Output
- Crystal system: cubic
- Uncorrected formation energy: -822 meV/atom
- SG: F-43m (216)

POSCAR file:
```
CaNdSbPd
1.0
0.000 3.727 3.727
3.727 0.000 3.727
3.727 3.727 0.000
Ca Nd Sb Pd
1 1 1 1
Direct
0.000 0.000 0.000
0.500 0.500 0.500
0.750 0.750 0.750
0.250 0.250 0.250
```

***

# 8
Mg2SiO after structural relaxation, computed with GGA-PBE.

Output
- Crystal system: cubic
- E above lowest polymorph: 849.2 meV per atom
- Uncorrected formation energy: -122 meV/atom
- SG: Fm-3m (225)

POSCAR file:
```
Mg2SiO
1.0
0.000 3.161 3.161
3.161 0.000 3.161
3.161 3.161 0.000
Mg Si O
2 1 1
Direct
0.250 0.250 0.250
0.750 0.750 0.750
0.000 0.000 0.000
0.500 0.500 0.500
```